Model one:
# Ba2ZnSbO PBE-GGA optimized geometry
# magnetic moment = 0.00 μB/cell
# density of states at the Fermi level = 0.47 states/eV per atom
data_Ba2ZnSbO
_chemical_formula_sum 'Ba4 Zn2 Sb2 O2'
_symmetry_space_group_name_H-M 'P 1 21/m 1'
_symmetry_Int_Tables_number 11
_cell_length_a 7.1966
_cell_length_b 4.4482
_cell_length_c 9.6671
_cell_angle_alpha 90.00
_cell_angle_beta 109.99
_cell_angle_gamma 90.00
loop_
_symmetry_equiv_pos_as_xyz
'x,y,z'
'-x,-y,-z'
'-x,y+1/2,-z'
'x,-y+1/2,z'
loop_
_atom_site_label
_atom_site_fract_x
_atom_site_fract_y
_atom_site_fract_z
Ba1 0.2093 0.2500 0.4729
Ba2 0.2125 0.2500 0.8938
Zn1 0.4576 0.7500 0.7612
Sb1 0.3203 0.7500 0.2060
O1 0.1738 0.7500 0.6345

---

Model two:
# Ba2ZnSbO PBE-GGA optimized geometry
# magnetic moment = 0.00 μB/cell
# density of states at the Fermi level = 0.30 states/eV per atom
data_Ba2ZnSbO
_chemical_formula_sum 'Ba2 Zn1 Sb1 O1'
_symmetry_space_group_name_H-M 'P 4/m m m'
_symmetry_Int_Tables_number 123
_symmetry_space_group_name_Hall '-P 4 2'
_cell_length_a 5.5533
_cell_length_b 5.5533
_cell_length_c 4.6527
_cell_angle_alpha 90.00
_cell_angle_beta 90.00
_cell_angle_gamma 90.00
loop_
_atom_site_label
_atom_site_fract_x
_atom_site_fract_y
_atom_site_fract_z
Ba1 0.0000 0.5000 0.0000
Zn1 0.0000 0.0000 0.5000
Sb1 0.5000 0.5000 0.5000
O1 0.0000 0.0000 0.0000

---

Which structure is most stable? model one, by 130 meV/atom over the runner-up.

---

Model one:
# Ba2ScO3 PBE-GGA optimized geometry
# magnetic moment = 1.37 μB/cell
# density of states at the Fermi level = 0.42 states/eV per atom
data_Ba2ScO3
_chemical_formula_sum 'Ba8 Sc4 O12'
_symmetry_space_group_name_H-M 'C m c m'
_symmetry_Int_Tables_number 63
_symmetry_space_group_name_Hall '-C 2c 2'
_cell_length_a 10.5609
_cell_length_b 7.0681
_cell_length_c 5.9687
_cell_angle_alpha 90.00
_cell_angle_beta 90.00
_cell_angle_gamma 90.00
loop_
_atom_site_label
_atom_site_fract_x
_atom_site_fract_y
_atom_site_fract_z
Ba1 0.1681 0.1558 0.2500
Sc1 0.0000 0.4076 0.7500
O1 0.0000 0.1304 0.7500
O2 0.1365 0.5000 0.0000

---

Model two:
# Ba2ScO3 PBE-GGA optimized geometry
# magnetic moment = 0.00 μB/cell
# density of states at the Fermi level = 0.30 states/eV per atom
data_Ba2ScO3
_chemical_formula_sum 'Ba8 Sc4 O12'
_symmetry_space_group_name_H-M 'C 1 2/m 1'
_symmetry_Int_Tables_number 12
_cell_length_a 12.7104
_cell_length_b 5.9198
_cell_length_c 9.1851
_cell_angle_alpha 90.00
_cell_angle_beta 132.75
_cell_angle_gamma 90.00
loop_
_symmetry_equiv_pos_as_xyz
'x,y,z'
'-x,-y,-z'
'-x,y,-z'
'x,-y,z'
'x+1/2,y+1/2,z'
'-x+1/2,-y+1/2,-z'
'-x+1/2,y+1/2,-z'
'x+1/2,-y+1/2,z'
loop_
_atom_site_label
_atom_site_fract_x
_atom_site_fract_y
_atom_site_fract_z
Ba1 0.0026 0.0000 0.2146
Ba2 0.2079 0.5000 0.2160
Sc1 0.1102 0.5000 0.7170
O1 0.0000 0.2596 0.5000
O2 0.0198 0.5000 0.8334
O3 0.1866 0.0000 0.1724

---

Which structure is most stable? model two, by 43 meV/atom over the runner-up.

---

Model one:
# BaScO2 PBE-GGA optimized geometry
# magnetic moment = 3.60 μB/cell
# density of states at the Fermi level = 0.73 states/eV per atom
data_BaScO2
_chemical_formula_sum 'Ba4 Sc4 O8'
_symmetry_space_group_name_H-M 'I -4 2 d'
_symmetry_Int_Tables_number 122
_symmetry_space_group_name_Hall 'I -4 2bw'
_cell_length_a 5.5236
_cell_length_b 5.5236
_cell_length_c 10.5198
_cell_angle_alpha 90.00
_cell_angle_beta 90.00
_cell_angle_gamma 90.00
loop_
_atom_site_label
_atom_site_fract_x
_atom_site_fract_y
_atom_site_fract_z
Ba1 0.0000 0.0000 0.0000
Sc1 0.0000 0.0000 0.5000
O1 0.1423 0.2500 0.6250

---

Model two:
# BaScO2 PBE-GGA optimized geometry
# magnetic moment = 0.00 μB/cell
# density of states at the Fermi level = 0.31 states/eV per atom
data_BaScO2
_chemical_formula_sum 'Ba3 Sc3 O6'
_symmetry_space_group_name_H-M 'R -3 m'
_symmetry_Int_Tables_number 166
_symmetry_space_group_name_Hall '-R 3 2"'
_cell_length_a 3.3637
_cell_length_b 3.3637
_cell_length_c 21.2732
_cell_angle_alpha 90.00
_cell_angle_beta 90.00
_cell_angle_gamma 120.00
loop_
_atom_site_label
_atom_site_fract_x
_atom_site_fract_y
_atom_site_fract_z
Ba1 0.0000 0.0000 0.0000
Sc1 0.0000 0.0000 0.5000
O1 0.0000 0.0000 0.1189

---

Which structure is most stable? model one, by 112 meV/atom over the runner-up.

---

Model one:
# Ba2SeO PBE-GGA optimized geometry
# magnetic moment = 0.00 μB/cell
# density of states at the Fermi level = 0.00 states/eV per atom
data_Ba2SeO
_chemical_formula_sum 'Ba6 Se3 O3'
_symmetry_space_group_name_H-M 'R 3 m'
_symmetry_Int_Tables_number 160
_symmetry_space_group_name_Hall 'R 3 -2"'
_cell_length_a 4.1823
_cell_length_b 4.1823
_cell_length_c 22.8693
_cell_angle_alpha 90.00
_cell_angle_beta 90.00
_cell_angle_gamma 120.00
loop_
_atom_site_label
_atom_site_fract_x
_atom_site_fract_y
_atom_site_fract_z
Ba1 0.0000 0.0000 0.0000
Ba2 0.0000 0.0000 0.1467
Se1 0.0000 0.0000 0.5728
O1 0.0000 0.0000 0.4042

---

Model two:
# Ba2SeO PBE-GGA optimized geometry
# magnetic moment = 0.00 μB/cell
# density of states at the Fermi level = 0.00 states/eV per atom
data_Ba2SeO
_chemical_formula_sum 'Ba8 Se4 O4'
_symmetry_space_group_name_H-M 'F m -3 m'
_symmetry_Int_Tables_number 225
_symmetry_space_group_name_Hall '-F 4 2 3'
_cell_length_a 7.5263
_cell_length_b 7.5263
_cell_length_c 7.5263
_cell_angle_alpha 90.00
_cell_angle_beta 90.00
_cell_angle_gamma 90.00
loop_
_atom_site_label
_atom_site_fract_x
_atom_site_fract_y
_atom_site_fract_z
Ba1 0.2500 0.2500 0.2500
Se1 0.0000 0.0000 0.0000
O1 0.0000 0.0000 0.5000

---

Which structure is most stable? model one, by 280 meV/atom over the runner-up.

---

Model one:
# Ba2SeO PBE-GGA optimized geometry
# magnetic moment = 0.00 μB/cell
# density of states at the Fermi level = 0.00 states/eV per atom
data_Ba2SeO
_chemical_formula_sum 'Ba8 Se4 O4'
_symmetry_space_group_name_H-M 'I -4 2 d'
_symmetry_Int_Tables_number 122
_symmetry_space_group_name_Hall 'I -4 2bw'
_cell_length_a 7.5298
_cell_length_b 7.5298
_cell_length_c 9.0084
_cell_angle_alpha 90.00
_cell_angle_beta 90.00
_cell_angle_gamma 90.00
loop_
_atom_site_label
_atom_site_fract_x
_atom_site_fract_y
_atom_site_fract_z
Ba1 0.1809 0.2500 0.1250
Se1 0.0000 0.0000 0.5000
O1 0.0000 0.0000 0.0000

---

Model two:
# Ba2SeO PBE-GGA optimized geometry
# magnetic moment = 0.00 μB/cell
# density of states at the Fermi level = 0.00 states/eV per atom
data_Ba2SeO
_chemical_formula_sum 'Ba4 Se2 O2'
_symmetry_space_group_name_H-M 'P 4/n m m'
_symmetry_Int_Tables_number 129
_cell_length_a 4.9927
_cell_length_b 4.9927
_cell_length_c 9.8680
_cell_angle_alpha 90.00
_cell_angle_beta 90.00
_cell_angle_gamma 90.00
loop_
_symmetry_equiv_pos_as_xyz
'x,y,z'
'-x,-y,-z'
'-y+1/2,x,z'
'y+1/2,-x,-z'
'-x+1/2,-y+1/2,z'
'x+1/2,y+1/2,-z'
'y,-x+1/2,z'
'-y,x+1/2,-z'
'x+1/2,-y,-z'
'-x+1/2,y,z'
'-y,-x,-z'
'y,x,z'
'-x,y+1/2,-z'
'x,-y+1/2,z'
'y+1/2,x+1/2,-z'
'-y+1/2,-x+1/2,z'
loop_
_atom_site_label
_atom_site_fract_x
_atom_site_fract_y
_atom_site_fract_z
Ba1 0.2500 0.2500 0.1558
Ba2 0.2500 0.7500 0.5000
Se1 0.2500 0.2500 0.8056
O1 0.2500 0.2500 0.4077

---

Which structure is most stable? model two, by 53 meV/atom over the runner-up.

---

Model one:
# Ba3Se2O PBE-GGA optimized geometry
# magnetic moment = 0.00 μB/cell
# density of states at the Fermi level = 0.00 states/eV per atom
data_Ba3Se2O
_chemical_formula_sum 'Ba12 Se8 O4'
_symmetry_space_group_name_H-M 'C m c 21'
_symmetry_Int_Tables_number 36
_cell_length_a 12.8120
_cell_length_b 8.2177
_cell_length_c 7.5732
_cell_angle_alpha 90.00
_cell_angle_beta 90.00
_cell_angle_gamma 90.00
loop_
_symmetry_equiv_pos_as_xyz
'x,y,z'
'-x,-y,z+1/2'
'-x,y,z'
'x,-y,z+1/2'
'x+1/2,y+1/2,z'
'-x+1/2,-y+1/2,z+1/2'
'-x+1/2,y+1/2,z'
'x+1/2,-y+1/2,z+1/2'
loop_
_atom_site_label
_atom_site_fract_x
_atom_site_fract_y
_atom_site_fract_z
Ba1 0.0000 0.1094 0.0000
Ba2 0.1455 0.4693 0.6178
Se1 0.1631 0.1648 0.3447
O1 0.0000 0.3973 0.8712

---

Model two:
# Ba3Se2O PBE-GGA optimized geometry
# magnetic moment = 0.00 μB/cell
# density of states at the Fermi level = 0.00 states/eV per atom
data_Ba3Se2O
_chemical_formula_sum 'Ba24 Se16 O8'
_symmetry_space_group_name_H-M 'C 1 2/c 1'
_symmetry_Int_Tables_number 15
_cell_length_a 7.2757
_cell_length_b 14.3610
_cell_length_c 15.8043
_cell_angle_alpha 90.00
_cell_angle_beta 94.52
_cell_angle_gamma 90.00
loop_
_symmetry_equiv_pos_as_xyz
'x,y,z'
'-x,-y,-z'
'-x,y,-z+1/2'
'x,-y,z+1/2'
'x+1/2,y+1/2,z'
'-x+1/2,-y+1/2,-z'
'-x+1/2,y+1/2,-z+1/2'
'x+1/2,-y+1/2,z+1/2'
loop_
_atom_site_label
_atom_site_fract_x
_atom_site_fract_y
_atom_site_fract_z
Ba1 0.0000 0.0192 0.2500
Ba2 0.0000 0.3996 0.2500
Ba3 0.1718 0.3255 0.8700
Ba4 0.2228 0.0977 0.5323
Se1 0.2236 0.2076 0.3423
Se2 0.2363 0.1019 0.9268
O1 0.2227 0.4964 0.8403

---

Which structure is most stable? model two, by 54 meV/atom over the runner-up.